a | Entry from the Alexandria database: a relaxed BaCrAu3 crystal (PBE-GGA).

Results
V: 220 Å³/cell
total magnetic moment: 5.0 μB per cell
symmetry: Pm-3m (221)

The structure in extended XYZ format:
```
5
Lattice="6.036 0.000 0.000 0.000 6.036 0.000 0.000 0.000 6.036" Properties=species:S:1:pos:R:3 pbc="T T T"
Ba 0.000 0.000 0.000
Cr 3.018 3.018 3.018
Au 0.000 0.000 3.018
Au 3.018 0.000 0.000
Au 0.000 3.018 0.000
```



b | Entry from the Alexandria database: a relaxed BaCrAu3 crystal (PBE-GGA).

Results
V: 127 Å³/cell
total magnetic moment: 0.0 μB per cell
symmetry: Pm-3m (221)

The structure in extended XYZ format:
```
5
Lattice="-2.835 4.143 0.191 -2.063 -1.208 -4.418 -3.597 -2.571 2.384" Properties=species:S:1:pos:R:3 pbc="T T T"
Ba -4.248 0.181 -0.922
Au -1.417 2.071 0.095
Au -1.032 -0.604 -2.209
Au -1.799 -1.286 1.192
Cr 0.000 0.000 0.000
```



Going by the energies, b is most stable and the next is 873 meV/atom up.



a | Entry from the Alexandria database: a relaxed CsBaAu2 crystal (PBE-GGA).

Results
V: 173 Å³/cell
total magnetic moment: 0.0 μB per cell
symmetry: R3m (160)

The structure in extended XYZ format:
```
4
Lattice="4.768 0.000 0.000 2.384 4.129 0.000 2.384 1.376 8.787" Properties=species:S:1:pos:R:3 pbc="T T T"
Cs 4.768 2.753 4.463
Au 2.384 1.376 1.868
Au 2.384 1.376 6.886
Ba 7.151 4.129 8.751
```



b | Entry from the Alexandria database: a relaxed CsBaAu2 crystal (PBE-GGA).

Results
V: 172 Å³/cell
total magnetic moment: 0.0 μB per cell
symmetry: R-3m (166)

The structure in extended XYZ format:
```
4
Lattice="4.840 0.000 0.000 2.420 4.191 0.000 2.420 1.397 8.497" Properties=species:S:1:pos:R:3 pbc="T T T"
Au 7.260 4.191 6.677
Au 2.420 1.397 1.820
Ba 0.000 0.000 0.000
Cs 4.840 2.794 4.248
```



c | Entry from the Alexandria database: a relaxed CsBaAu2 crystal (PBE-GGA).

Results
V: 152 Å³/cell
total magnetic moment: 0.0 μB per cell
symmetry: P4/mmm (123)

The structure in extended XYZ format:
```
4
Lattice="-1.512 3.564 1.761 -1.913 -2.304 3.021 6.886 0.556 4.786" Properties=species:S:1:pos:R:3 pbc="T T T"
Cs 1.730 0.908 4.784
Ba -1.713 0.630 2.391
Au 5.570 0.450 3.871
Au 1.316 0.106 0.914
```



Going by the energies, c is most stable and the next is 44 meV/atom up.



a | Entry from the Alexandria database: a relaxed CsBaAu4 crystal (PBE-GGA).

Results
V: 190 Å³/cell
total magnetic moment: 0.0 μB per cell
symmetry: I-4m2 (119)

The structure in extended XYZ format:
```
6
Lattice="4.523 0.000 -1.397 -0.431 4.503 -1.397 0.333 0.367 9.102" Properties=species:S:1:pos:R:3 pbc="T T T"
Au 3.833 1.729 4.389
Au 1.980 2.179 6.413
Au 3.070 0.889 1.919
Au 2.445 2.690 -0.104
Cs 0.000 0.000 0.000
Ba 0.974 3.560 3.154
```



b | Entry from the Alexandria database: a relaxed CsBaAu4 crystal (PBE-GGA).

Results
V: 160 Å³/cell
total magnetic moment: 0.0 μB per cell
symmetry: F-43m (216)

The structure in extended XYZ format:
```
6
Lattice="6.091 0.000 0.000 3.046 5.275 0.000 3.046 1.758 4.974" Properties=species:S:1:pos:R:3 pbc="T T T"
Ba 3.046 1.758 1.243
Au 6.091 3.517 0.624
Au 6.091 1.761 3.108
Au 4.571 4.395 3.108
Au 7.612 4.395 3.108
Cs 0.000 0.000 0.000
```



Going by the energies, a is most stable and the next is 162 meV/atom up.



a | Entry from the Alexandria database: a relaxed CsBaAu crystal (PBE-GGA).

Results
V: 143 Å³/cell
total magnetic moment: 0.0 μB per cell
symmetry: F-43m (216)

The structure in extended XYZ format:
```
3
Lattice="-1.045 -4.464 -3.672 -2.604 -4.880 1.975 -5.508 -1.248 -1.613" Properties=species:S:1:pos:R:3 pbc="T T T"
Cs 0.000 0.000 0.000
Ba -4.578 -5.296 -1.655
Au -2.289 -2.648 -0.828
```



b | Entry from the Alexandria database: a relaxed CsBaAu crystal (PBE-GGA).

Results
V: 151 Å³/cell
total magnetic moment: 0.0 μB per cell
symmetry: I4mm (107)

The structure in extended XYZ format:
```
3
Lattice="4.277 0.000 0.000 0.000 4.277 0.000 -2.139 -2.139 8.279" Properties=species:S:1:pos:R:3 pbc="T T T"
Cs 0.000 0.000 0.575
Ba 0.000 0.000 4.611
Au 2.139 2.139 3.093
```



Going by the energies, b is most stable and the next is 68 meV/atom up.



a | Entry from the Alexandria database: a relaxed CsRbBa2Au crystal (PBE-GGA).

Results
V: 319 Å³/cell
total magnetic moment: 0.0 μB per cell
symmetry: P4/mmm (123)

The structure in extended XYZ format:
```
5
Lattice="6.565 0.000 0.000 0.000 6.565 0.000 0.000 0.000 7.401" Properties=species:S:1:pos:R:3 pbc="T T T"
Cs 3.283 3.283 3.701
Rb 0.000 0.000 3.701
Ba 3.283 0.000 0.000
Ba 0.000 3.283 0.000
Au 0.000 0.000 0.000
```



b | Entry from the Alexandria database: a relaxed CsRbBa2Au crystal (PBE-GGA).

Results
V: 323 Å³/cell
total magnetic moment: 0.0 μB per cell
symmetry: P4/mmm (123)

The structure in extended XYZ format:
```
5
Lattice="6.576 0.000 0.000 0.000 6.576 0.000 0.000 0.000 7.462" Properties=species:S:1:pos:R:3 pbc="T T T"
Ba 0.000 3.288 0.000
Ba 3.288 0.000 0.000
Au 0.000 0.000 0.000
Rb 3.288 3.288 3.731
Cs 0.000 0.000 3.731
```



Going by the energies, b is most stable and the next is 7 meV/atom up.



a | Entry from the Alexandria database: a relaxed Ba2CuAu crystal (PBE-GGA).

Results
V: 155 Å³/cell
total magnetic moment: 0.0 μB per cell
symmetry: R3m (160)

The structure in extended XYZ format:
```
4
Lattice="8.707 0.026 0.016 7.451 4.505 0.016 7.451 2.090 3.991" Properties=species:S:1:pos:R:3 pbc="T T T"
Cu 10.817 3.034 1.843
Ba 0.964 0.270 0.164
Ba 4.938 1.385 0.841
Au 18.695 5.243 3.186
```



b | Entry from the Alexandria database: a relaxed Ba2CuAu crystal (PBE-GGA).

Results
V: 129 Å³/cell
total magnetic moment: 0.0 μB per cell
symmetry: Fm-3m (225)

The structure in extended XYZ format:
```
4
Lattice="0.000 4.006 4.006 4.006 0.000 4.006 4.006 4.006 0.000" Properties=species:S:1:pos:R:3 pbc="T T T"
Ba 6.009 6.009 6.009
Ba 2.003 2.003 2.003
Cu 0.000 0.000 0.000
Au 4.006 4.006 4.006
```



c | Entry from the Alexandria database: a relaxed Ba2CuAu crystal (PBE-GGA).

Results
V: 113 Å³/cell
total magnetic moment: 0.0 μB per cell
symmetry: F-43m (216)

The structure in extended XYZ format:
```
4
Lattice="5.427 0.000 0.000 2.713 4.700 0.000 2.713 1.567 4.431" Properties=species:S:1:pos:R:3 pbc="T T T"
Cu 8.140 4.700 3.323
Ba 2.713 1.567 1.108
Ba 0.000 0.000 0.000
Au 5.427 3.133 2.215
```



Going by the energies, a is most stable and the next is 76 meV/atom up.



a | Entry from the Alexandria database: a relaxed Ba2CuAu crystal (PBE-GGA).

Results
V: 129 Å³/cell
total magnetic moment: 0.0 μB per cell
symmetry: Pmmm (47)

The structure in extended XYZ format:
```
4
Lattice="-1.370 -3.098 2.180 3.464 -1.941 -0.582 6.451 1.394 6.034" Properties=species:S:1:pos:R:3 pbc="T T T"
Au 6.751 -1.959 5.179
Ba 4.959 -0.278 2.721
Ba 3.462 -1.936 -0.577
Cu 1.794 -1.686 2.453
```



b | Entry from the Alexandria database: a relaxed Ba2CuAu crystal (PBE-GGA).

Results
V: 150 Å³/cell
total magnetic moment: 0.0 μB per cell
symmetry: C2/m (12)

The structure in extended XYZ format:
```
4
Lattice="4.717 -0.050 0.041 2.395 4.064 0.041 2.322 1.310 7.794" Properties=species:S:1:pos:R:3 pbc="T T T"
Ba 2.322 1.310 7.782
Ba 4.717 2.662 3.950
Au 2.359 1.331 1.969
Cu 7.076 3.993 5.907
```



Going by the energies, a is most stable and the next is 17 meV/atom up.



a | Entry from the Alexandria database: a relaxed Ba2CuAu crystal (PBE-GGA).

Results
V: 137 Å³/cell
total magnetic moment: 0.0 μB per cell
symmetry: Amm2 (38)

The structure in extended XYZ format:
```
4
Lattice="6.625 0.006 -0.012 4.988 4.361 -0.012 0.008 0.003 4.756" Properties=species:S:1:pos:R:3 pbc="T T T"
Cu 5.036 1.894 2.961
Ba 0.160 0.060 0.594
Ba 8.581 3.227 2.955
Au 3.656 1.375 0.588
```



b | Entry from the Alexandria database: a relaxed Ba2CuAu crystal (PBE-GGA).

Results
V: 152 Å³/cell
total magnetic moment: 0.0 μB per cell
symmetry: R3m (160)

The structure in extended XYZ format:
```
4
Lattice="4.665 0.000 0.000 2.332 4.040 0.000 2.332 1.347 8.049" Properties=species:S:1:pos:R:3 pbc="T T T"
Ba 2.332 1.347 1.937
Ba 2.332 1.347 6.119
Au 4.665 2.693 0.031
Cu 4.665 2.693 3.987
```



c | Entry from the Alexandria database: a relaxed Ba2CuAu crystal (PBE-GGA).

Results
V: 305 Å³/cell
total magnetic moment: 0.0 μB per cell
symmetry: I-42d (122)

The structure in extended XYZ format:
```
8
Lattice="8.604 0.000 0.000 0.000 8.604 0.000 4.302 4.302 4.124" Properties=species:S:1:pos:R:3 pbc="T T T"
Au 0.000 0.000 0.000
Au 8.604 4.302 2.062
Cu 4.302 8.604 2.062
Cu 4.302 4.302 0.000
Ba 2.202 6.453 1.031
Ba 6.403 2.151 1.031
Ba 6.453 6.504 3.093
Ba 10.756 10.705 3.093
```



Going by the energies, a is most stable and the next is 114 meV/atom up.



a | Entry from the Alexandria database: a relaxed Ba2CuAu crystal (PBE-GGA).

Results
V: 161 Å³/cell
total magnetic moment: 0.0 μB per cell
symmetry: Imm2 (44)

The structure in extended XYZ format:
```
4
Lattice="-2.070 2.651 -7.891 -7.220 1.794 -4.270 4.750 0.785 7.099" Properties=species:S:1:pos:R:3 pbc="T T T"
Ba -0.056 0.027 -0.074
Ba -3.506 2.376 -1.558
Au -0.199 2.454 -2.411
Cu -5.423 2.595 -7.099
```



b | Entry from the Alexandria database: a relaxed Ba2CuAu crystal (PBE-GGA).

Results
V: 133 Å³/cell
total magnetic moment: 0.0 μB per cell
symmetry: I-4m2 (119)

The structure in extended XYZ format:
```
4
Lattice="6.948 0.008 0.000 3.823 5.802 0.000 -5.386 -2.905 3.291" Properties=species:S:1:pos:R:3 pbc="T T T"
Ba 1.911 2.901 1.646
Ba 0.000 0.000 0.000
Au 3.474 0.004 1.646
Cu 5.386 2.905 0.000
```



Going by the energies, a is most stable and the next is 165 meV/atom up.



a | Entry from the Alexandria database: a relaxed Ba2CuAu2 crystal (PBE-GGA).

Results
V: 306 Å³/cell
total magnetic moment: 0.0 μB per cell
symmetry: P-1 (2)

The structure in extended XYZ format:
```
10
Lattice="-1.308 -1.293 -4.221 2.845 -5.547 -1.692 -8.696 -6.790 2.252" Properties=species:S:1:pos:R:3 pbc="T T T"
Cu -0.940 -7.348 -2.485
Cu -6.219 -6.282 -1.175
Ba -8.176 -8.819 -2.305
Ba 1.017 -4.811 -1.355
Ba -3.344 -4.751 -2.535
Ba -3.815 -8.879 -1.125
Au -2.854 -7.819 -4.259
Au -4.305 -5.812 0.599
Au -5.961 -11.544 -2.160
Au -1.198 -2.087 -1.500
```



b | Entry from the Alexandria database: a relaxed Ba2CuAu2 crystal (PBE-GGA).

Results
V: 162 Å³/cell
total magnetic moment: 0.0 μB per cell
symmetry: I4/mmm (139)

The structure in extended XYZ format:
```
5
Lattice="-5.336 0.631 3.426 1.726 -4.965 3.603 0.090 0.303 6.010" Properties=species:S:1:pos:R:3 pbc="T T T"
Ba -3.525 -0.616 6.476
Ba 0.006 -3.414 6.564
Au -1.149 -1.312 4.378
Au -2.370 -2.719 8.661
Cu 0.000 0.000 0.000
```



Going by the energies, a is most stable and the next is 171 meV/atom up.



a | Entry from the Alexandria database: a relaxed BaCu2Au2 crystal (PBE-GGA).

Results
V: 201 Å³/cell
total magnetic moment: 0.0 μB per cell
symmetry: P4/mbm (127)

The structure in extended XYZ format:
```
10
Lattice="7.821 0.000 0.000 0.000 7.821 0.000 0.000 0.000 3.291" Properties=species:S:1:pos:R:3 pbc="T T T"
Ba 0.000 0.000 0.000
Ba 3.911 3.911 0.000
Cu 4.805 0.894 0.000
Cu 3.017 6.927 0.000
Cu 0.894 3.017 0.000
Cu 6.927 4.805 0.000
Au 2.588 1.323 1.645
Au 5.233 6.499 1.645
Au 1.323 5.233 1.645
Au 6.499 2.588 1.645
```



b | Entry from the Alexandria database: a relaxed BaCu2Au2 crystal (PBE-GGA).

Results
V: 112 Å³/cell
total magnetic moment: 0.0 μB per cell
symmetry: I4/mmm (139)

The structure in extended XYZ format:
```
5
Lattice="-0.399 4.030 2.146 -2.847 1.464 -3.280 -5.784 0.861 2.203" Properties=species:S:1:pos:R:3 pbc="T T T"
Ba 0.000 0.000 0.000
Cu -5.127 2.536 -0.822
Cu -3.903 3.819 1.891
Au -2.718 2.251 0.162
Au -6.311 4.105 0.907
```



c | Entry from the Alexandria database: a relaxed BaCu2Au2 crystal (PBE-GGA).

Results
V: 203 Å³/cell
total magnetic moment: 0.0 μB per cell
symmetry: P4/mbm (127)

The structure in extended XYZ format:
```
10
Lattice="7.984 0.000 0.000 0.000 7.984 0.000 0.000 0.000 3.192" Properties=species:S:1:pos:R:3 pbc="T T T"
Cu 5.254 6.722 1.596
Cu 1.262 5.254 1.596
Cu 2.730 1.262 1.596
Cu 6.722 2.730 1.596
Ba 0.000 0.000 0.000
Ba 3.992 3.992 0.000
Au 6.954 5.021 0.000
Au 1.029 2.963 0.000
Au 2.963 6.954 0.000
Au 5.021 1.029 0.000
```



d | Entry from the Alexandria database: a relaxed BaCu2Au2 crystal (PBE-GGA).

Results
V: 111 Å³/cell
total magnetic moment: 0.0 μB per cell
symmetry: I4/mmm (139)

The structure in extended XYZ format:
```
5
Lattice="4.647 0.000 0.000 0.000 4.647 0.000 2.324 2.324 5.123" Properties=species:S:1:pos:R:3 pbc="T T T"
Au 4.647 2.324 2.561
Au 2.324 4.647 2.561
Ba 0.000 0.000 0.000
Cu 2.324 2.324 1.235
Cu 4.647 4.647 3.888
```



Going by the energies, b is most stable and the next is 17 meV/atom up.